Entry from Alexandria via LeMat-Bulk: a geometry-optimized CaGdBi structure (PBE-GGA).

Symmetry: I4mm
Relative energy among the computed polymorphs: 0.0000 eV per atom
DFT formation energy: -492 meV per atom

```
data_CaGdBi
_chemical_formula_sum 'Ca1 Gd1 Bi1'
_symmetry_space_group_name_H-M 'P 1'
_symmetry_Int_Tables_number 1
_cell_length_a 4.148
_cell_length_b 4.148
_cell_length_c 6.204
_cell_angle_alpha 109.53
_cell_angle_beta 109.53
_cell_angle_gamma 90.00
loop_
_symmetry_equiv_pos_as_xyz
'x,y,z'
loop_
_atom_site_label
_atom_site_type_symbol
_atom_site_fract_x
_atom_site_fract_y
_atom_site_fract_z
Ca1 Ca 0.939 0.939 0.878
Gd1 Gd 0.632 0.632 0.264
Bi1 Bi 0.279 0.279 0.558
```



Entry from Alexandria via LeMat-Bulk: a geometry-optimized CaGdBi2 structure (PBE-GGA).

Symmetry: P4/mmm
Relative energy among the computed polymorphs: 0.0631 eV per atom
DFT formation energy: -687 meV per atom

```
data_CaGdBi2
_chemical_formula_sum 'Ca1 Gd1 Bi2'
_symmetry_space_group_name_H-M 'P 1'
_symmetry_Int_Tables_number 1
_cell_length_a 4.156
_cell_length_b 5.439
_cell_length_c 5.439
_cell_angle_alpha 90.00
_cell_angle_beta 90.00
_cell_angle_gamma 90.00
loop_
_symmetry_equiv_pos_as_xyz
'x,y,z'
loop_
_atom_site_label
_atom_site_type_symbol
_atom_site_fract_x
_atom_site_fract_y
_atom_site_fract_z
Ca1 Ca 0.500 0.000 0.000
Gd1 Gd 0.500 0.500 0.500
Bi1 Bi 0.000 0.000 0.500
Bi2 Bi 0.000 0.500 0.000
```



Entry from Alexandria via LeMat-Bulk: a geometry-optimized Ca5Gd3Bi12 structure (PBE-GGA).

Symmetry: Ia-3d
DFT formation energy: -304 meV per atom

```
data_Ca5Gd3Bi12
_chemical_formula_sum 'Ca20 Gd12 Bi48'
_symmetry_space_group_name_H-M 'P 1'
_symmetry_Int_Tables_number 1
_cell_length_a 16.226
_cell_length_b 16.226
_cell_length_c 16.226
_cell_angle_alpha 109.47
_cell_angle_beta 109.47
_cell_angle_gamma 109.47
loop_
_symmetry_equiv_pos_as_xyz
'x,y,z'
loop_
_atom_site_label
_atom_site_type_symbol
_atom_site_fract_x
_atom_site_fract_y
_atom_site_fract_z
Gd1 Gd 0.750 0.375 0.125
Gd2 Gd 0.875 0.750 0.125
Gd3 Gd 0.375 0.750 0.625
Gd4 Gd 0.250 0.125 0.375
Gd5 Gd 0.875 0.125 0.250
Gd6 Gd 0.375 0.625 0.250
Gd7 Gd 0.625 0.375 0.750
Gd8 Gd 0.125 0.875 0.750
Gd9 Gd 0.750 0.875 0.625
Gd10 Gd 0.625 0.250 0.375
Gd11 Gd 0.125 0.250 0.875
Gd12 Gd 0.250 0.625 0.875
Ca1 Ca 0.125 0.375 0.250
Ca2 Ca 0.000 0.500 0.000
Ca3 Ca 0.000 0.000 0.000
Ca4 Ca 0.375 0.250 0.125
Ca5 Ca 0.500 0.000 0.500
Ca6 Ca 0.500 0.500 0.000
Ca7 Ca 0.125 0.750 0.375
Ca8 Ca 0.750 0.125 0.875
Ca9 Ca 0.750 0.625 0.375
Ca10 Ca 0.375 0.125 0.750
Ca11 Ca 0.625 0.875 0.250
Ca12 Ca 0.500 0.500 0.500
Ca13 Ca 0.500 0.000 0.000
Ca14 Ca 0.000 0.000 0.500
Ca15 Ca 0.250 0.375 0.625
Ca16 Ca 0.250 0.875 0.125
Ca17 Ca 0.000 0.500 0.500
Ca18 Ca 0.875 0.250 0.625
Ca19 Ca 0.625 0.750 0.875
Ca20 Ca 0.875 0.625 0.750
Bi1 Bi 0.745 0.150 0.076
Bi2 Bi 0.331 0.576 0.427
Bi3 Bi 0.924 0.350 0.255
Bi4 Bi 0.576 0.245 0.150
Bi5 Bi 0.595 0.745 0.669
Bi6 Bi 0.924 0.573 0.169
Bi7 Bi 0.331 0.755 0.405
Bi8 Bi 0.073 0.905 0.150
Bi9 Bi 0.573 0.924 0.669
Bi10 Bi 0.745 0.595 0.169
Bi11 Bi 0.755 0.424 0.350
Bi12 Bi 0.831 0.927 0.076
Bi13 Bi 0.150 0.745 0.576
Bi14 Bi 0.350 0.427 0.095
Bi15 Bi 0.095 0.927 0.350
Bi16 Bi 0.405 0.150 0.573
Bi17 Bi 0.095 0.169 0.245
Bi18 Bi 0.424 0.669 0.073
Bi19 Bi 0.831 0.905 0.255
Bi20 Bi 0.150 0.405 0.073
Bi21 Bi 0.350 0.924 0.755
Bi22 Bi 0.573 0.650 0.405
Bi23 Bi 0.927 0.831 0.576
Bi24 Bi 0.755 0.331 0.905
Bi25 Bi 0.427 0.350 0.595
Bi26 Bi 0.073 0.169 0.424
Bi27 Bi 0.245 0.669 0.095
Bi28 Bi 0.169 0.095 0.745
Bi29 Bi 0.650 0.076 0.245
Bi30 Bi 0.850 0.595 0.927
Bi31 Bi 0.576 0.331 0.927
Bi32 Bi 0.595 0.850 0.427
Bi33 Bi 0.905 0.831 0.755
Bi34 Bi 0.905 0.073 0.650
Bi35 Bi 0.850 0.255 0.424
Bi36 Bi 0.169 0.073 0.924
Bi37 Bi 0.650 0.573 0.905
Bi38 Bi 0.427 0.076 0.331
Bi39 Bi 0.255 0.405 0.831
Bi40 Bi 0.245 0.576 0.650
Bi41 Bi 0.927 0.095 0.850
Bi42 Bi 0.669 0.245 0.595
Bi43 Bi 0.424 0.755 0.850
Bi44 Bi 0.076 0.427 0.831
Bi45 Bi 0.405 0.255 0.331
Bi46 Bi 0.076 0.650 0.745
Bi47 Bi 0.669 0.424 0.573
Bi48 Bi 0.255 0.850 0.924
```



Entry from Alexandria via LeMat-Bulk: a geometry-optimized CaGdBi2 structure (PBE-GGA).

Symmetry: P4/mmm
Relative energy among the computed polymorphs: 0.0403 eV per atom
DFT formation energy: -709 meV per atom

```
data_CaGdBi2
_chemical_formula_sum 'Ca1 Gd1 Bi2'
_symmetry_space_group_name_H-M 'P 1'
_symmetry_Int_Tables_number 1
_cell_length_a 4.173
_cell_length_b 4.173
_cell_length_c 6.999
_cell_angle_alpha 90.00
_cell_angle_beta 90.00
_cell_angle_gamma 90.00
loop_
_symmetry_equiv_pos_as_xyz
'x,y,z'
loop_
_atom_site_label
_atom_site_type_symbol
_atom_site_fract_x
_atom_site_fract_y
_atom_site_fract_z
Ca1 Ca 0.500 0.500 0.500
Gd1 Gd 0.500 0.500 0.000
Bi1 Bi 0.000 0.000 0.759
Bi2 Bi 0.000 0.000 0.241
```



Entry from Alexandria via LeMat-Bulk: a geometry-optimized CaGdBi structure (PBE-GGA).

Symmetry: P3m1
Relative energy among the computed polymorphs: 0.1395 eV per atom
DFT formation energy: -352 meV per atom

```
data_CaGdBi
_chemical_formula_sum 'Ca1 Gd1 Bi1'
_symmetry_space_group_name_H-M 'P 1'
_symmetry_Int_Tables_number 1
_cell_length_a 4.118
_cell_length_b 5.264
_cell_length_c 5.264
_cell_angle_alpha 120.00
_cell_angle_beta 90.00
_cell_angle_gamma 90.00
loop_
_symmetry_equiv_pos_as_xyz
'x,y,z'
loop_
_atom_site_label
_atom_site_type_symbol
_atom_site_fract_x
_atom_site_fract_y
_atom_site_fract_z
Ca1 Ca 0.400 0.333 0.667
Gd1 Gd 0.937 0.000 0.000
Bi1 Bi 0.663 0.667 0.333
```



Entry from Alexandria via LeMat-Bulk: a geometry-optimized CaGdHgBi structure (PBE-GGA).

Symmetry: F-43m
DFT formation energy: -584 meV per atom

```
data_CaGdHgBi
_chemical_formula_sum 'Ca1 Gd1 Hg1 Bi1'
_symmetry_space_group_name_H-M 'P 1'
_symmetry_Int_Tables_number 1
_cell_length_a 5.471
_cell_length_b 5.471
_cell_length_c 5.471
_cell_angle_alpha 60.00
_cell_angle_beta 60.00
_cell_angle_gamma 60.00
loop_
_symmetry_equiv_pos_as_xyz
'x,y,z'
loop_
_atom_site_label
_atom_site_type_symbol
_atom_site_fract_x
_atom_site_fract_y
_atom_site_fract_z
Ca1 Ca 0.250 0.250 0.250
Gd1 Gd 0.750 0.750 0.750
Bi1 Bi 0.500 0.500 0.500
Hg1 Hg 0.000 0.000 0.000
```



Entry from Alexandria via LeMat-Bulk: a geometry-optimized CaGdMgBi structure (PBE-GGA).

Symmetry: F-43m
DFT formation energy: -353 meV per atom

```
data_CaGdMgBi
_chemical_formula_sum 'Ca1 Gd1 Mg1 Bi1'
_symmetry_space_group_name_H-M 'P 1'
_symmetry_Int_Tables_number 1
_cell_length_a 5.527
_cell_length_b 5.527
_cell_length_c 5.527
_cell_angle_alpha 60.00
_cell_angle_beta 60.00
_cell_angle_gamma 60.00
loop_
_symmetry_equiv_pos_as_xyz
'x,y,z'
loop_
_atom_site_label
_atom_site_type_symbol
_atom_site_fract_x
_atom_site_fract_y
_atom_site_fract_z
Mg1 Mg 0.000 0.000 0.000
Ca1 Ca 0.750 0.750 0.750
Gd1 Gd 0.250 0.250 0.250
Bi1 Bi 0.500 0.500 0.500
```



Entry from Alexandria via LeMat-Bulk: a geometry-optimized CaGdBiPt structure (PBE-GGA).

Symmetry: F-43m
DFT formation energy: -823 meV per atom

```
data_CaGdBiPt
_chemical_formula_sum 'Ca1 Gd1 Bi1 Pt1'
_symmetry_space_group_name_H-M 'P 1'
_symmetry_Int_Tables_number 1
_cell_length_a 5.258
_cell_length_b 5.258
_cell_length_c 5.258
_cell_angle_alpha 60.00
_cell_angle_beta 60.00
_cell_angle_gamma 60.00
loop_
_symmetry_equiv_pos_as_xyz
'x,y,z'
loop_
_atom_site_label
_atom_site_type_symbol
_atom_site_fract_x
_atom_site_fract_y
_atom_site_fract_z
Ca1 Ca 0.750 0.750 0.750
Gd1 Gd 0.250 0.250 0.250
Bi1 Bi 0.000 0.000 0.000
Pt1 Pt 0.500 0.500 0.500
```



Entry from Alexandria via LeMat-Bulk: a geometry-optimized CaGdBiSb structure (PBE-GGA).

Symmetry: F-43m
Uncorrected formation energy: -0.74 eV/atom

```
data_CaGdBiSb
_chemical_formula_sum 'Ca1 Gd1 Bi1 Sb1'
_symmetry_space_group_name_H-M 'P 1'
_symmetry_Int_Tables_number 1
_cell_length_a 5.524
_cell_length_b 5.524
_cell_length_c 5.524
_cell_angle_alpha 60.00
_cell_angle_beta 60.00
_cell_angle_gamma 60.00
loop_
_symmetry_equiv_pos_as_xyz
'x,y,z'
loop_
_atom_site_label
_atom_site_type_symbol
_atom_site_fract_x
_atom_site_fract_y
_atom_site_fract_z
Sb1 Sb 0.000 0.000 0.000
Ca1 Ca 0.250 0.250 0.250
Gd1 Gd 0.750 0.750 0.750
Bi1 Bi 0.500 0.500 0.500
```



Entry from Alexandria via LeMat-Bulk: a geometry-optimized CaGdSnBi structure (PBE-GGA).

Symmetry: F-43m
DFT formation energy: -590 meV per atom

```
data_CaGdSnBi
_chemical_formula_sum 'Ca1 Gd1 Sn1 Bi1'
_symmetry_space_group_name_H-M 'P 1'
_symmetry_Int_Tables_number 1
_cell_length_a 5.522
_cell_length_b 5.522
_cell_length_c 5.522
_cell_angle_alpha 60.00
_cell_angle_beta 60.00
_cell_angle_gamma 60.00
loop_
_symmetry_equiv_pos_as_xyz
'x,y,z'
loop_
_atom_site_label
_atom_site_type_symbol
_atom_site_fract_x
_atom_site_fract_y
_atom_site_fract_z
Ca1 Ca 0.500 0.500 0.500
Gd1 Gd 0.000 0.000 0.000
Bi1 Bi 0.750 0.750 0.750
Sn1 Sn 0.250 0.250 0.250
```



Entry from Alexandria via LeMat-Bulk: a geometry-optimized CaGdTlBi structure (PBE-GGA).

Symmetry: F-43m
DFT formation energy: -495 meV per atom

```
data_CaGdTlBi
_chemical_formula_sum 'Ca1 Gd1 Tl1 Bi1'
_symmetry_space_group_name_H-M 'P 1'
_symmetry_Int_Tables_number 1
_cell_length_a 5.532
_cell_length_b 5.532
_cell_length_c 5.532
_cell_angle_alpha 60.00
_cell_angle_beta 60.00
_cell_angle_gamma 60.00
loop_
_symmetry_equiv_pos_as_xyz
'x,y,z'
loop_
_atom_site_label
_atom_site_type_symbol
_atom_site_fract_x
_atom_site_fract_y
_atom_site_fract_z
Tl1 Tl 0.000 0.000 0.000
Gd1 Gd 0.750 0.750 0.750
Bi1 Bi 0.500 0.500 0.500
Ca1 Ca 0.250 0.250 0.250
```



Entry from Alexandria via LeMat-Bulk: a geometry-optimized Ca2Ge2Bi structure (PBE-GGA).

Symmetry: P4/mbm
Relative energy among the computed polymorphs: 0.3500 eV per atom
DFT formation energy: -233 meV per atom

```
data_Ca2Ge2Bi
_chemical_formula_sum 'Ca4 Ge4 Bi2'
_symmetry_space_group_name_H-M 'P 1'
_symmetry_Int_Tables_number 1
_cell_length_a 8.789
_cell_length_b 8.789
_cell_length_c 3.423
_cell_angle_alpha 90.00
_cell_angle_beta 90.00
_cell_angle_gamma 90.00
loop_
_symmetry_equiv_pos_as_xyz
'x,y,z'
loop_
_atom_site_label
_atom_site_type_symbol
_atom_site_fract_x
_atom_site_fract_y
_atom_site_fract_z
Ge1 Ge 0.178 0.678 0.500
Ge2 Ge 0.678 0.822 0.500
Ge3 Ge 0.822 0.322 0.500
Ge4 Ge 0.322 0.178 0.500
Ca1 Ca 0.371 0.871 0.000
Ca2 Ca 0.871 0.629 0.000
Ca3 Ca 0.629 0.129 0.000
Ca4 Ca 0.129 0.371 0.000
Bi1 Bi 0.000 0.000 0.000
Bi2 Bi 0.500 0.500 0.000
```



no.,total magnetization (Bohr magnetons per cell)
1,8.953
2,7.111
3,82.589
4,7.672
5,7.209
6,7.457
7,8.020
8,6.960
9,7.009
10,7.235
11,7.325
12,0.000